No. 1
{
  "formula": "CdSnGeAsP",
  "functional": "PBE",
  "state": "relaxed",
  "delta_e_f_ev_per_atom": 0.110,
  "dos_at_fermi_per_ev_fu": 1.26,
  "spacegroup": "Pm (6)",
  "lattice_angstrom": [[4.6204, 0.0000, 0.0000], [0.0000, 4.0365, 0.0000], [-1.4023, 0.0000, 6.4433]],
  "species": ["Cd", "Sn", "Ge", "As", "P"],
  "fractional_positions": [[0.7274, 0.5000, 0.9511], [0.9907, 0.5000, 0.5412], [0.2934, 0.5000, 0.1931], [0.3958, 0.0000, 0.7116], [0.5348, 0.0000, 0.3890]]
}

---

No. 2
{
  "formula": "CdSnGeAsP",
  "functional": "PBE",
  "state": "relaxed",
  "delta_e_f_ev_per_atom": 0.137,
  "dos_at_fermi_per_ev_fu": 1.66,
  "spacegroup": "P1 (1)",
  "lattice_angstrom": [[4.2373, 0.0190, 0.0144], [-0.3381, 5.3656, -0.0006], [-1.0860, -2.4113, 5.4965]],
  "species": ["Cd", "Sn", "Ge", "As", "P"],
  "fractional_positions": [[0.3190, 0.0398, 0.0220], [0.9200, 0.7436, 0.5076], [0.8011, 0.7325, 0.0471], [0.6211, 0.2597, 0.7511], [0.3968, 0.4190, 0.4581]]
}

---

No. 3
{
  "formula": "CdSnGeAsP",
  "functional": "PBE",
  "state": "relaxed",
  "delta_e_f_ev_per_atom": 0.062,
  "dos_at_fermi_per_ev_fu": 0.01,
  "spacegroup": "P1 (1)",
  "lattice_angstrom": [[-1.3520, 0.4560, 4.6901], [-4.8653, 0.0241, -2.0801], [1.0933, -5.5876, -0.2533]],
  "species": ["Cd", "Sn", "Ge", "As", "P"],
  "fractional_positions": [[0.0084, 0.0010, 0.8009], [0.4492, 0.3397, 0.1513], [0.8491, 0.7401, 0.1295], [0.2633, 0.7109, 0.4510], [0.6442, 0.0136, 0.4093]]
}

---

In the order shown, the computed excess energy over the best structure of this formula in the dataset values come out to 127; 153; 79 meV/atom.
In the order shown, the computed V values come out to 24.03; 25.02; 28.30 Å³ per atom.
In the order shown, the computed magnetization values come out to 0.000; 0.000; 0.000 μB per formula unit.